Material: NdSi2Ir4
Method: DFT, PBE
State: optimized geometry

The value obtained for the energy relative to the elements, uncorrected is -0.761 eV/atom. The value obtained for the calculated volume is 16.3 Å³ per atom. The energy is -8.06 eV per atom.

It has space group P4_2/mnm (No. 136), with a = 7.678 Å, b = 7.678 Å, c = 3.869 Å, α = 90.00°, β = 90.00° and γ = 90.00°. The asymmetric unit holds Nd at (0.000, 0.000, 0.000), Si at (0.228, 0.228, 0.500) and Ir at (0.076, 0.664, 0.500).


Material: NdSi3Ir
Method: DFT, PBE
State: optimized geometry

The value obtained for the energy relative to the elements, uncorrected is -0.809 eV/atom. The value obtained for the calculated volume is 17.9 Å³ per atom. The energy is -6.79 eV per atom.

It has space group I4mm (No. 107), with a = 4.257 Å, b = 4.257 Å, c = 9.867 Å, α = 90.00°, β = 90.00° and γ = 90.00°. The asymmetric unit holds Nd at (0.000, 0.000, 0.000), Si at (0.000, 0.000, 0.415), Si at (0.000, 0.500, 0.265) and Ir at (0.000, 0.000, 0.655).


Material: Nd2Si6Ir9
Method: DFT, PBE
State: optimized geometry

The value obtained for the energy relative to the elements, uncorrected is -0.698 eV/atom. The value obtained for the calculated volume is 17.6 Å³ per atom. The energy is -7.86 eV per atom.

It has space group P6/mmm (No. 191), with a = 5.6572 Å, b = 5.6572 Å, c = 10.8004 Å, α = 90.00°, β = 90.00° and γ = 120.00°. The asymmetric unit holds Nd at (0.0000, 0.0000, 0.1921), Si at (0.3333, 0.6667, 0.1663), Si at (0.3333, 0.6667, 0.5000), Ir at (0.0000, 0.5000, 0.0000) and Ir at (0.0000, 0.5000, 0.3335).


Material: Nd3Si3Ir
Method: DFT, PBE
State: optimized geometry

The value obtained for the energy relative to the elements, uncorrected is -0.822 eV/atom. The value obtained for the calculated volume is 22.5 Å³ per atom. The energy is -6.46 eV per atom.

It has space group C2/m (No. 12), with a = 11.037 Å, b = 4.329 Å, c = 14.038 Å, α = 90.00°, β = 109.81° and γ = 90.00°. The asymmetric unit holds Nd at (0.025, 0.000, 0.381), Nd at (0.106, 0.000, 0.922), Nd at (0.245, 0.000, 0.228), Si at (0.045, 0.500, 0.232), Si at (0.101, 0.500, 0.073), Si at (0.166, 0.500, 0.540) and Ir at (0.244, 0.500, 0.389).


Material: NdSi3Ir2
Method: DFT, PBE
State: optimized geometry

The value obtained for the energy relative to the elements, uncorrected is -0.811 eV/atom. The value obtained for the calculated volume is 16.8 Å³ per atom. The energy is -7.27 eV per atom.

It has space group C2/m (No. 12), with a = 16.065 Å, b = 4.024 Å, c = 9.598 Å, α = 90.00°, β = 103.11° and γ = 90.00°. The asymmetric unit holds Nd at (0.000, 0.000, 0.000), Nd at (0.152, 0.000, 0.700), Si at (0.000, 0.500, 0.500), Si at (0.047, 0.000, 0.370), Si at (0.140, 0.500, 0.183), Si at (0.144, 0.500, 0.930), Si at (0.222, 0.000, 0.371), Ir at (0.007, 0.500, 0.762), Ir at (0.148, 0.500, 0.438) and Ir at (0.208, 0.000, 0.090).


Material: Nd2Si3Ir2
Method: DFT, PBE
State: optimized geometry

The value obtained for the energy relative to the elements, uncorrected is -0.765 eV/atom. The value obtained for the calculated volume is 19.2 Å³ per atom. The energy is -6.98 eV per atom.

It has space group C2/m (No. 12), with a = 10.961 Å, b = 4.028 Å, c = 7.058 Å, α = 90.00°, β = 120.16° and γ = 90.00°. The asymmetric unit holds Nd at (0.139, 0.000, 0.265), Si at (0.000, 0.500, 0.500), Si at (0.145, 0.500, 0.932) and Ir at (0.135, 0.000, 0.720).


Material: NdSi2Ir
Method: DFT, PBE
State: optimized geometry

The value obtained for the energy relative to the elements, uncorrected is -0.934 eV/atom. The value obtained for the calculated volume is 19.0 Å³ per atom. The energy is -7.05 eV per atom.

It has space group P2_1/m (No. 11), with a = 4.260 Å, b = 4.236 Å, c = 8.673 Å, α = 90.00°, β = 104.18° and γ = 90.00°. The asymmetric unit holds Nd at (0.106, 0.250, 0.212), Si at (0.251, 0.750, 0.500), Si at (0.462, 0.250, 0.924) and Ir at (0.321, 0.250, 0.643).


Material: NdSi3Ir3
Method: DFT, PBE
State: optimized geometry

The value obtained for the energy relative to the elements, uncorrected is -0.587 eV/atom. The value obtained for the calculated volume is 19.8 Å³ per atom. The energy is -7.39 eV per atom.

It has space group R-3 (No. 148, hexagonal axes), with a = 6.8661 Å, b = 6.8661 Å, c = 20.3530 Å, α = 90.00°, β = 90.00° and γ = 120.00°. The asymmetric unit holds Nd at (0.0000, 0.0000, 0.1657), Si at (0.0019, 0.2938, 0.5963) and Ir at (0.0025, 0.3607, 0.3825).